Record 1
## Rb2PdRhCl6 (PBE-GGA)

Data for a relaxed Rb2PdRhCl6 crystal.

Unit cell a=7.0772 b=9.8234 c=7.1011 alpha=90.00 beta=90.00 gamma=90.00
With the nearest neighbours (Å) after each atom.
Sites, in units of the cell vectors:
Rb1 0.2500 0.0001 0.2474  12 Cl 3.39-3.71
Rb2 0.2500 0.4999 0.2474  12 Cl 3.39-3.71
Rb3 0.7500 0.9999 0.7526  12 Cl 3.39-3.71
Rb4 0.7500 0.5001 0.7526  12 Cl 3.39-3.71
Pd1 0.2500 0.2500 0.7546  6 Cl 2.51-2.60
Pd2 0.7500 0.7500 0.2454  6 Cl 2.51-2.60
Rh1 0.2500 0.7500 0.7519  6 Cl 2.41-2.44
Rh2 0.7500 0.2500 0.2481  6 Cl 2.41-2.44
Cl1 0.0032 0.7500 0.5113  1 Rh 2.44, 1 Pd 2.60
Cl2 0.0105 0.7500 0.9967  1 Rh 2.43, 1 Pd 2.55
Cl3 0.2500 0.5050 0.7245  1 Rh 2.41, 1 Pd 2.51
Cl4 0.2500 0.9950 0.7245  1 Rh 2.41, 1 Pd 2.51
Cl5 0.4895 0.7500 0.9967  1 Rh 2.43, 1 Pd 2.55
Cl6 0.4968 0.7500 0.5113  1 Rh 2.44, 1 Pd 2.60
Cl7 0.5032 0.2500 0.4887  1 Rh 2.44, 1 Pd 2.60
Cl8 0.5105 0.2500 0.0033  1 Rh 2.43, 1 Pd 2.55
Cl9 0.7500 0.0050 0.2755  1 Rh 2.41, 1 Pd 2.51
Cl10 0.7500 0.4950 0.2755  1 Rh 2.41, 1 Pd 2.51
Cl11 0.9895 0.2500 0.0033  1 Rh 2.43, 1 Pd 2.55
Cl12 0.9968 0.2500 0.4887  1 Rh 2.44, 1 Pd 2.60

Results
Calculated volume (Å³/atom): 24.7
Energy relative to the elements, uncorrected (kJ/mol of formula units): -1007
Calculated total energy (eV per atom): -3.600

Record 2
## RbPdRuCl2 (PBE-GGA)

Data for a relaxed RbPdRuCl2 crystal.

Unit cell a=5.8426 b=5.8426 c=5.3716 alpha=90.00 beta=90.00 gamma=90.00
With the nearest neighbours (Å) after each atom.
Sites, in units of the cell vectors:
Rb1 0.0000 0.0000 0.0000  2 Ru 2.69, 4 Cl 2.92
Pd1 0.5000 0.5000 0.5000  8 Cl 3.97, 4 Ru 4.13
Ru1 0.0000 0.0000 0.5000  2 Rb 2.69
Cl1 0.0000 0.5000 0.0000  2 Rb 2.92
Cl2 0.5000 0.0000 0.0000  2 Rb 2.92

Results
Calculated volume (Å³/atom): 36.7
Energy relative to the elements, uncorrected (kJ/mol of formula units): 590
Calculated total energy (eV per atom): -2.603

Record 3
## Rb2PdRuCl6 (PBE-GGA)

Data for a relaxed Rb2PdRuCl6 crystal.

Unit cell a=7.1334 b=7.1334 c=7.1334 alpha=120.68 beta=120.68 gamma=88.83
With the nearest neighbours (Å) after each atom.
Sites, in units of the cell vectors:
Rb1 0.2500 0.7500 0.5000  12 Cl 3.53-3.57
Rb2 0.7500 0.2500 0.5000  12 Cl 3.53-3.57
Pd1 0.0000 0.0000 0.0000  6 Cl 2.57-2.68
Ru1 0.5000 0.5000 0.0000  6 Cl 2.42
Cl1 0.2573 0.2573 0.5145  1 Ru 2.42, 1 Pd 2.57
Cl2 0.2573 0.7427 0.0000  1 Ru 2.42, 1 Pd 2.57
Cl3 0.2629 0.2629 0.0000  1 Ru 2.42, 1 Pd 2.68
Cl4 0.7371 0.7371 0.0000  1 Ru 2.42, 1 Pd 2.68
Cl5 0.7427 0.2573 0.0000  1 Ru 2.42, 1 Pd 2.57
Cl6 0.7427 0.7427 0.4855  1 Ru 2.42, 1 Pd 2.57

Results
Calculated volume (Å³/atom): 25.4
Energy relative to the elements, uncorrected (kJ/mol of formula units): -949
Calculated total energy (eV per atom): -3.732

Record 4
## RbPdS2Cl (PBE-GGA)

Data for a relaxed RbPdS2Cl crystal.

Unit cell a=4.7557 b=4.7557 c=5.4378 alpha=90.00 beta=90.00 gamma=90.00
With the nearest neighbours (Å) after each atom.
Sites, in units of the cell vectors:
Rb1 0.0000 0.0000 0.0000  4 Cl 3.36, 8 S 3.61
Pd1 0.5000 0.5000 0.5000  4 S 2.38
S1 0.0000 0.5000 0.5000  2 Pd 2.38
S2 0.5000 0.0000 0.5000  2 Pd 2.38
Cl1 0.5000 0.5000 0.0000  2 Pd 2.72

Results
Calculated volume (Å³/atom): 24.6
Energy relative to the elements, uncorrected (kJ/mol of formula units): -186
Calculated total energy (eV per atom): -3.638
Energy relative to the lowest polymorph listed for this composition (meV per atom): 0.0

Record 5
## RbPdS2Cl (PBE-GGA)

Data for a relaxed RbPdS2Cl crystal.

Unit cell a=6.1006 b=6.1006 c=5.9547 alpha=90.00 beta=90.00 gamma=90.00
With the nearest neighbours (Å) after each atom.
Sites, in units of the cell vectors:
Rb1 0.0000 0.0000 0.0000  2 Cl 2.98, 4 S 3.05
Pd1 0.5000 0.5000 0.5000  8 S 4.26, 4 Cl 4.31
S1 0.0000 0.5000 0.0000  2 Rb 3.05
S2 0.5000 0.0000 0.0000  2 Rb 3.05
Cl1 0.0000 0.0000 0.5000  2 Rb 2.98

Results
Calculated volume (Å³/atom): 44.3
Energy relative to the elements, uncorrected (kJ/mol of formula units): 520
Calculated total energy (eV per atom): -2.175
Energy relative to the lowest polymorph listed for this composition (meV per atom): 1463.6

Record 6
## Rb2SbPdCl6 (PBE-GGA)

Data for a relaxed Rb2SbPdCl6 crystal.

Unit cell a=7.4150 b=7.4150 c=7.4150 alpha=119.98 beta=119.98 gamma=90.04
With the nearest neighbours (Å) after each atom.
Sites, in units of the cell vectors:
Rb1 0.2500 0.7500 0.5000  12 Cl 3.71
Rb2 0.7500 0.2500 0.5000  12 Cl 3.71
Sb1 0.0000 0.0000 0.0000  6 Cl 2.66
Pd1 0.5000 0.5000 0.0000  6 Cl 2.58-2.59
Cl1 0.2533 0.2533 0.5066  1 Pd 2.59, 1 Sb 2.66
Cl2 0.2533 0.7467 0.0000  1 Pd 2.59, 1 Sb 2.66
Cl3 0.2538 0.2538 0.0000  1 Pd 2.58, 1 Sb 2.66
Cl4 0.7462 0.7462 0.0000  1 Pd 2.58, 1 Sb 2.66
Cl5 0.7467 0.2533 0.0000  1 Pd 2.59, 1 Sb 2.66
Cl6 0.7467 0.7467 0.4934  1 Pd 2.59, 1 Sb 2.66

Results
Calculated volume (Å³/atom): 28.8
Energy relative to the elements, uncorrected (kJ/mol of formula units): -1130
Calculated total energy (eV per atom): -3.404

> Number 4 is which compound?

RbPdS2Cl

> What is the energy relative to the elements, uncorrected in the sixth record?

-1130 kJ/mol of formula units

> Look up the energy relative to the elements, uncorrected of the second one.

590 kJ/mol of formula units

> What is the calculated volume in the fifth record?

44.3 Å³/atom